[1]
Computed, not measured: a crystal of Tl2CuAsO4 relaxed with PBEsol at the meta-GGA SCAN level of DFT.

a b c (Å): 8.5698 5.4451 11.4026
angles (deg): 90.00 96.13 90.00
Element x y z (fractional)
Tl 0.0036 0.2258 0.3875
Tl 0.0036 0.2742 0.8875
Tl 0.3056 0.2380 0.6315
Tl 0.3056 0.2620 0.1315
Tl 0.6944 0.7380 0.8685
Tl 0.6944 0.7620 0.3685
Tl 0.9964 0.7258 0.1125
Tl 0.9964 0.7742 0.6125
Cu 0.4897 0.1852 0.4075
Cu 0.4897 0.3148 0.9075
Cu 0.5103 0.6852 0.0925
Cu 0.5103 0.8148 0.5925
As 0.2862 0.7328 0.3752
As 0.2862 0.7672 0.8752
As 0.7138 0.2328 0.1248
As 0.7138 0.2672 0.6248
O 0.0977 0.6483 0.3273
O 0.0977 0.8517 0.8273
O 0.2994 0.0462 0.3449
O 0.2994 0.4538 0.8449
O 0.3164 0.6942 0.5273
O 0.3164 0.8058 0.0273
O 0.4231 0.5676 0.3094
O 0.4231 0.9324 0.8094
O 0.5769 0.0676 0.1906
O 0.5769 0.4324 0.6906
O 0.6836 0.1942 0.9727
O 0.6836 0.3058 0.4727
O 0.7006 0.5462 0.1551
O 0.7006 0.9538 0.6551
O 0.9023 0.1483 0.1727
O 0.9023 0.3517 0.6727


[2]
Computed, not measured: a crystal of Tl2CuAsO4 relaxed with PBEsol at the meta-GGA SCAN level of DFT.

a b c (Å): 5.5726 5.4811 8.6706
angles (deg): 90.00 95.13 90.00
Element x y z (fractional)
Tl 0.2282 0.0000 0.4957
Tl 0.2354 0.5201 0.8095
Tl 0.7646 0.0201 0.1905
Tl 0.7718 0.5000 0.5043
Cu 0.2124 0.9661 0.0101
Cu 0.7876 0.4661 0.9899
As 0.2490 0.5260 0.2157
As 0.7510 0.0260 0.7843
O 0.0646 0.0264 0.8120
O 0.3326 0.8317 0.2008
O 0.3336 0.4408 0.4026
O 0.3761 0.3481 0.0820
O 0.6239 0.8481 0.9180
O 0.6664 0.9408 0.5974
O 0.6674 0.3317 0.7992
O 0.9354 0.5264 0.1880


Number 1: total moment 0.00 μB per formula unit, offset from the most stable computed form 0 meV/atom. Number 2: total moment 0.00 μB per formula unit, offset from the most stable computed form 14 meV/atom.